Entry 1:
The following is a DFT calculation (PBE) of an optimized crystal structure of Li4Pd3O8.

The calculation puts the final energy at -236.5 eV for the cell shown. The value obtained for the spin magnetization is 0.00 μB/f.u.

It has space group R-3m (No. 166, hexagonal axes), with a = 6.0100 Å, b = 6.0100 Å, c = 15.4433 Å, α = 90.00°, β = 90.00° and γ = 120.00°. The inequivalent atoms are Li at (0.0000, 0.0000, 0.0000), Li at (0.0000, 0.0000, 0.1408), Li at (0.0000, 0.0000, 0.5000), Pd at (0.0000, 0.5000, 0.0000), O at (0.0000, 0.0000, 0.2665) and O at (0.0111, 0.5055, 0.2600).



Entry 2:
The following is a DFT calculation (PBE) of an optimized crystal structure of NdTmAs2.

The calculation puts the final energy at -73.6 eV for the cell shown. The value obtained for the spin magnetization is 0.00 μB/f.u. For the offset from the most stable computed form, the calculation gives 0.0 meV per atom. The formation energy comes out at -34.56 kcal/mol of atoms. The density of states at the Fermi level is 1.43 states/eV/cell.

It has space group R-3m (No. 166, hexagonal axes), with a = 4.1732 Å, b = 4.1732 Å, c = 20.3885 Å, α = 90.00°, β = 90.00° and γ = 120.00°. The inequivalent atoms are Nd at (0.0000, 0.0000, 0.0000), Tm at (0.0000, 0.0000, 0.5000) and As at (0.0000, 0.0000, 0.2456).



Entry 3:
The following is a DFT calculation (PBE) of an optimized crystal structure of LiPmAg2Hg4.

The calculation puts the final energy at -47.1 eV for the cell shown. The value obtained for the spin magnetization is 0.00 μB/f.u. The formation energy comes out at -6.11 kcal/mol of atoms. The density of states at the Fermi level is 10.69 states/eV/cell.

It has space group R-3m (No. 166, hexagonal axes), with a = 4.9978 Å, b = 4.9978 Å, c = 24.1731 Å, α = 90.00°, β = 90.00° and γ = 120.00°. The inequivalent atoms are Li at (0.0000, 0.0000, 0.0000), Pm at (0.0000, 0.0000, 0.5000), Ag at (0.0000, 0.0000, 0.2461), Hg at (0.0000, 0.0000, 0.1154) and Hg at (0.0000, 0.0000, 0.3680).



Entry 4:
The following is a DFT calculation (PBE) of an optimized crystal structure of LiPd5Au8.

The calculation puts the final energy at -107.7 eV for the cell shown. The value obtained for the spin magnetization is 0.00 μB/f.u. The formation energy comes out at 0.38 kcal/mol of atoms. The density of states at the Fermi level is 11.57 states/eV/cell.

It has space group I-4 (No. 82), with a = 7.9550 Å, b = 7.9550 Å, c = 7.9399 Å, α = 90.00°, β = 90.00° and γ = 90.00°. The inequivalent atoms are Li at (0.0000, 0.0000, 0.0000), Pd at (0.0000, 0.5000, 0.2500), Pd at (0.1218, 0.7424, 0.6301), Au at (0.0783, 0.8343, 0.2933) and Au at (0.0835, 0.6779, 0.9649).



Entry 5:
The following is a DFT calculation (PBE) of an optimized crystal structure of Sm4Y3TmTe8.

The calculation puts the final energy at -267.3 eV for the cell shown. The value obtained for the spin magnetization is 0.00 μB/f.u. The density of states at the Fermi level is 36.73 states/eV/cell.

It has space group R-3m (No. 166, hexagonal axes), with a = 8.7525 Å, b = 8.7525 Å, c = 21.7647 Å, α = 90.00°, β = 90.00° and γ = 120.00°. The inequivalent atoms are Sm at (0.0000, 0.0000, 0.0000), Sm at (0.0000, 0.5000, 0.0000), Y at (0.0000, 0.5000, 0.5000), Tm at (0.0000, 0.0000, 0.5000), Te at (0.0000, 0.0000, 0.2476) and Te at (0.0028, 0.5014, 0.2470).



Entry 6:
The following is a DFT calculation (PBE) of an optimized crystal structure of Sr4AsPtBr2.

The calculation puts the final energy at -31.9 eV for the cell shown. The value obtained for the spin magnetization is 0.00 μB/f.u. The density of states at the Fermi level is 2.60 states/eV/cell.

It has space group P2/m (No. 10), with a = 7.7575 Å, b = 4.4720 Å, c = 8.0576 Å, α = 90.00°, β = 108.03° and γ = 90.00°. The inequivalent atoms are Sr at (0.2344, 0.0000, 0.2152), Sr at (0.2582, 0.5000, 0.7907), As at (0.5000, 0.0000, 0.0000), Pt at (0.0000, 0.5000, 0.0000), Br at (0.0000, 0.0000, 0.5000) and Br at (0.5000, 0.5000, 0.5000).



Entry 7:
The following is a DFT calculation (PBE) of an optimized crystal structure of LaGe2SI.

The calculation puts the final energy at -16.1 eV for the cell shown. The value obtained for the spin magnetization is 0.74 μB/f.u. The density of states at the Fermi level is 6.59 states/eV/cell.

It has space group P4/mmm (No. 123), with a = 5.9277 Å, b = 5.9277 Å, c = 5.9851 Å, α = 90.00°, β = 90.00° and γ = 90.00°. The inequivalent atoms are La at (0.0000, 0.0000, 0.0000), Ge at (0.0000, 0.5000, 0.0000), S at (0.5000, 0.5000, 0.5000) and I at (0.0000, 0.0000, 0.5000).



Entry 8:
The following is a DFT calculation (PBE) of an optimized crystal structure of Li2In2BPd4.

The calculation puts the final energy at -81.3 eV for the cell shown. The value obtained for the spin magnetization is 0.00 μB/f.u. The formation energy comes out at -10.01 kcal/mol of atoms. The density of states at the Fermi level is 7.21 states/eV/cell.

It has space group I4/mmm (No. 139), with a = 5.8798 Å, b = 5.8798 Å, c = 7.9682 Å, α = 90.00°, β = 90.00° and γ = 90.00°. The inequivalent atoms are Li at (0.0000, 0.0000, 0.2192), In at (0.0000, 0.5000, 0.2500), B at (0.0000, 0.0000, 0.5000) and Pd at (0.2481, 0.2481, 0.5000).



Entry 9:
The following is a DFT calculation (PBE) of an optimized crystal structure of AlTcCl.

The calculation puts the final energy at -30.9 eV for the cell shown. The value obtained for the spin magnetization is 1.17 μB/f.u. For the offset from the most stable computed form, the calculation gives 197.6 meV per atom. The density of states at the Fermi level is 3.50 states/eV/cell.

It has space group I4mm (No. 107), with a = 3.0453 Å, b = 3.0453 Å, c = 11.6586 Å, α = 90.00°, β = 90.00° and γ = 90.00°. The inequivalent atoms are Al at (0.0000, 0.0000, 0.0000), Tc at (0.0000, 0.0000, 0.3818) and Cl at (0.0000, 0.0000, 0.7324).



Entry 10:
The following is a DFT calculation (PBE) of an optimized crystal structure of Ba4AlNi.

The calculation puts the final energy at -48.5 eV for the cell shown. The value obtained for the spin magnetization is 0.96 μB/f.u. The formation energy comes out at 19.56 kcal/mol of atoms. The density of states at the Fermi level is 35.62 states/eV/cell.

It has space group F-43m (No. 216), with a = 9.9723 Å, b = 9.9723 Å, c = 9.9723 Å, α = 90.00°, β = 90.00° and γ = 90.00°. The inequivalent atoms are Ba at (0.1249, 0.1249, 0.1249), Al at (0.0000, 0.0000, 0.5000) and Ni at (0.2500, 0.2500, 0.7500).



Entry 11:
The following is a DFT calculation (PBE) of an optimized crystal structure of InReHg2.

The calculation puts the final energy at -39.2 eV for the cell shown. The value obtained for the spin magnetization is 0.61 μB/f.u. The formation energy comes out at 15.69 kcal/mol of atoms. The density of states at the Fermi level is 8.76 states/eV/cell.

It has space group R-3m (No. 166, hexagonal axes), with a = 3.0990 Å, b = 3.0990 Å, c = 29.3916 Å, α = 90.00°, β = 90.00° and γ = 120.00°. The inequivalent atoms are In at (0.0000, 0.0000, 0.0000), Re at (0.0000, 0.0000, 0.5000) and Hg at (0.0000, 0.0000, 0.2443).



Entry 12:
The following is a DFT calculation (PBE) of an optimized crystal structure of LaScIn2.

The calculation puts the final energy at -36.5 eV for the cell shown. The value obtained for the spin magnetization is 0.00 μB/f.u. The formation energy comes out at -8.84 kcal/mol of atoms. The density of states at the Fermi level is 7.09 states/eV/cell.

It has space group Cmmm (No. 65), with a = 6.8085 Å, b = 9.0564 Å, c = 3.4648 Å, α = 90.00°, β = 90.00° and γ = 90.00°. The inequivalent atoms are La at (0.0000, 0.0000, 0.0000), Sc at (0.0000, 0.5000, 0.0000) and In at (0.2500, 0.2500, 0.5000).



Q: What is the final energy in the fifth record?
A: -267.3 eV for the cell shown



Q: Look up the spin magnetization of the eighth one.
A: 0.00 μB/f.u.



Q: Look up the spin magnetization of the third one.
A: 0.00 μB/f.u.